DFT (PBE-GGA) results for a relaxed structure of K2BeMo.

Geometry as POSCAR:
```
K2BeMo
1.0
10.306 -1.590 0.000
10.306 1.590 0.000
-0.655 0.000 3.648
K Be Mo
2 1 1
Cartesian
2.890 0.000 0.523 K
17.067 0.000 3.125 K
10.306 0.000 0.000 Be
-0.328 0.000 1.824 Mo
```

Computed properties:
D(E_F): 0.78 states/eV per atom
Symmetry: No. 12
Energy: -3.308 eV/atom
Energy of formation: 0.8800 eV/atom